No. 1
# AlSiMo2

A relaxed structure of AlSiMo2 (GGA-PBE, the Alexandria database).

Summary:
**E above lowest polymorph**: 0.357 eV/atom
**Formation energy from raw total energies**: 0.05 eV per atom
**Raw total energy**: -30.62 eV per formula unit

Lattice parameters (Å, degrees): 3.3078 4.3304 8.5599 90.00 90.00 90.00
Atoms (fractional coordinates):
Al  0.0000  0.0000  0.0000
Al  0.5000  0.5000  0.0000
Si  0.0000  0.5000  0.7382
Si  0.5000  0.0000  0.7382
Mo  0.0000  0.0000  0.5069
Mo  0.0000  0.5000  0.2470
Mo  0.5000  0.0000  0.2470
Mo  0.5000  0.5000  0.5069

---

No. 2
# AlSi2Mo2

A relaxed structure of AlSi2Mo2 (GGA-PBE, the Alexandria database).

Summary:
**E above lowest polymorph**: 0.000 eV/atom
**Formation energy from raw total energies**: -0.27 eV per atom
**Raw total energy**: -37.59 eV per formula unit

Lattice parameters (Å, degrees): 6.6112 6.6112 3.2732 90.00 90.00 90.00
Atoms (fractional coordinates):
Al  0.0000  0.0000  0.0000
Al  0.5000  0.5000  0.0000
Si  0.1304  0.3696  0.0000
Si  0.3696  0.8696  0.0000
Si  0.6304  0.1304  0.0000
Si  0.8696  0.6304  0.0000
Mo  0.1651  0.6651  0.5000
Mo  0.3349  0.1651  0.5000
Mo  0.6651  0.8349  0.5000
Mo  0.8349  0.3349  0.5000

---

No. 3
# Al2SiMo

A relaxed structure of Al2SiMo (GGA-PBE, the Alexandria database).

Summary:
**Formation energy from raw total energies**: -0.17 eV per atom
**Raw total energy**: -24.43 eV per formula unit

Lattice parameters (Å, degrees): 3.3937 4.2297 8.1569 90.00 90.00 90.00
Atoms (fractional coordinates):
Al  0.0000  0.0000  0.0000
Al  0.0000  0.5000  0.2445
Al  0.5000  0.0000  0.7445
Al  0.5000  0.5000  0.5000
Si  0.0000  0.0000  0.4972
Si  0.5000  0.5000  0.9972
Mo  0.0000  0.5000  0.7606
Mo  0.5000  0.0000  0.2606

---

No. 4
# Al2SiMo

A relaxed structure of Al2SiMo (GGA-PBE, the Alexandria database).

Summary:
**Formation energy from raw total energies**: -0.23 eV per atom
**Raw total energy**: -24.64 eV per formula unit

Lattice parameters (Å, degrees): 3.4162 3.4162 5.1522 90.00 90.00 90.00
Atoms (fractional coordinates):
Al  0.0000  0.0000  0.2461
Al  0.0000  0.0000  0.7539
Si  0.5000  0.5000  0.5000
Mo  0.5000  0.5000  0.0000

---

No. 5
# AlSi2Mo

A relaxed structure of AlSi2Mo (GGA-PBE, the Alexandria database).

Summary:
**Formation energy from raw total energies**: 0.12 eV per atom
**Raw total energy**: -24.95 eV per formula unit

Lattice parameters (Å, degrees): 2.9916 2.9916 23.5439 90.00 90.00 120.00
Atoms (fractional coordinates):
Al  0.0000  0.0000  0.0000
Al  0.3333  0.6667  0.6667
Al  0.6667  0.3333  0.3333
Si  0.0000  0.0000  0.2467
Si  0.0000  0.0000  0.5023
Si  0.3333  0.6667  0.1689
Si  0.3333  0.6667  0.9133
Si  0.6667  0.3333  0.5800
Si  0.6667  0.3333  0.8356
Mo  0.0000  0.0000  0.7554
Mo  0.3333  0.6667  0.4221
Mo  0.6667  0.3333  0.0887

---

No. 6
# AlSiMo2

A relaxed structure of AlSiMo2 (GGA-PBE, the Alexandria database).

Summary:
**E above lowest polymorph**: 0.197 eV/atom
**Formation energy from raw total energies**: -0.11 eV per atom
**Raw total energy**: -31.26 eV per formula unit

Lattice parameters (Å, degrees): 3.2329 4.5294 8.1717 90.00 90.00 90.00
Atoms (fractional coordinates):
Al  0.0000  0.0000  0.0000
Al  0.5000  0.5000  0.0000
Si  0.0000  0.0000  0.5000
Si  0.5000  0.5000  0.5000
Mo  0.0000  0.5000  0.2630
Mo  0.0000  0.5000  0.7370
Mo  0.5000  0.0000  0.2630
Mo  0.5000  0.0000  0.7370

---

No. 7
# Al2SiMo

A relaxed structure of Al2SiMo (GGA-PBE, the Alexandria database).

Summary:
**Formation energy from raw total energies**: -0.01 eV per atom
**Raw total energy**: -23.78 eV per formula unit

Lattice parameters (Å, degrees): 4.6544 2.7948 4.9409 90.00 111.86 90.00
Atoms (fractional coordinates):
Al  0.0000  0.0000  0.0000
Al  0.5000  0.5000  0.0000
Si  0.0000  0.5000  0.5000
Mo  0.5000  0.0000  0.5000

---

No. 8
# AlSiMo2

A relaxed structure of AlSiMo2 (GGA-PBE, the Alexandria database).

Summary:
**E above lowest polymorph**: 0.158 eV/atom
**Formation energy from raw total energies**: -0.15 eV per atom
**Raw total energy**: -31.41 eV per formula unit

Lattice parameters (Å, degrees): 3.3250 4.2160 8.4287 90.00 90.00 90.00
Atoms (fractional coordinates):
Al  0.0000  0.0000  0.0000
Al  0.5000  0.5000  0.5000
Si  0.0000  0.5000  0.2397
Si  0.5000  0.0000  0.7397
Mo  0.0000  0.0000  0.4998
Mo  0.0000  0.5000  0.7552
Mo  0.5000  0.0000  0.2552
Mo  0.5000  0.5000  0.9998